# 1
Ac2Be2Si3: optimized geometry, PBE-GGA.

## Properties
For the energy relative to the elements, uncorrected, the calculation gives -328 meV/atom.

a b c (Å): 4.008 7.150 10.730
angles (deg): 90.00 100.76 90.00
Positions (direct):
Ac: 0.186 0.250 0.372
Ac: 0.814 0.750 0.628
Ac: 0.962 0.250 0.924
Ac: 0.038 0.750 0.076
Be: 0.656 0.895 0.312
Be: 0.344 0.105 0.688
Be: 0.344 0.395 0.688
Be: 0.656 0.605 0.312
Si: 0.192 0.750 0.384
Si: 0.808 0.250 0.616
Si: 0.576 0.412 0.151
Si: 0.424 0.588 0.849
Si: 0.424 0.912 0.849
Si: 0.576 0.088 0.151

# 2
GaAu4: optimized geometry, PBE-GGA.

## Properties
For the energy relative to the elements, the calculation gives -31 kJ/mol of formula units. As for the polymorph energy (0 for the lowest one): 0.000 eV/atom.

a b c (Å): 4.213 4.056 11.097
angles (deg): 90.00 90.00 90.00
Positions (direct):
Ga: 0.000 0.000 0.000
Ga: 0.000 0.500 0.500
Au: 0.000 0.500 0.844
Au: 0.000 0.000 0.656
Au: 0.000 0.500 0.156
Au: 0.000 0.000 0.344
Au: 0.500 0.500 0.355
Au: 0.500 0.000 0.145
Au: 0.500 0.500 0.645
Au: 0.500 0.000 0.855

# 3
CaAlSe2: optimized geometry, PBE-GGA.

## Properties
For the energy relative to the elements, uncorrected, the calculation gives -859 meV/atom.

a b c (Å): 4.931 4.931 3.558
angles (deg): 90.00 90.00 90.00
Positions (direct):
Ca: 0.000 0.500 0.500
Al: 0.500 0.000 0.500
Se: 0.000 0.000 0.000
Se: 0.500 0.500 0.000

# 4
KRe2Pb: optimized geometry, PBE-GGA.

## Properties
For the energy relative to the elements, the calculation gives 624 kJ/mol of formula units.

a b c (Å): 6.144 6.144 2.728
angles (deg): 90.00 90.00 124.75
Positions (direct):
K: 0.500 0.000 0.500
Pb: 0.000 0.500 0.500
Re: 0.000 0.000 0.000
Re: 0.500 0.500 0.000

# 5
Ac2Al3Zn5: optimized geometry, PBE-GGA.

## Properties
For the energy relative to the elements, the calculation gives -330 kJ/mol of formula units. As for the polymorph energy (0 for the lowest one): 0.018 eV/atom.

a b c (Å): 4.477 4.477 10.718
angles (deg): 90.00 90.00 90.00
Positions (direct):
Ac: 0.500 0.000 0.244
Ac: 0.000 0.500 0.756
Al: 0.500 0.000 0.638
Al: 0.000 0.500 0.362
Al: 0.000 0.000 0.500
Zn: 0.500 0.500 0.000
Zn: 0.000 0.000 0.000
Zn: 0.500 0.000 0.878
Zn: 0.000 0.500 0.122
Zn: 0.500 0.500 0.500

# 6
SrGa3CoNi: optimized geometry, PBE-GGA.

## Properties
For the energy relative to the elements, the calculation gives -150 kJ/mol of formula units.

a b c (Å): 6.087 7.104 6.518
angles (deg): 123.02 90.00 90.00
Positions (direct):
Sr: 0.750 0.253 0.507
Sr: 0.250 0.747 0.493
Ga: 0.250 0.245 0.490
Ga: 0.000 0.249 0.000
Ga: 0.500 0.751 0.000
Ga: 0.500 0.249 0.000
Ga: 0.000 0.751 0.000
Ga: 0.750 0.755 0.510
Co: 0.250 0.043 0.086
Co: 0.750 0.957 0.914
Ni: 0.250 0.451 0.902
Ni: 0.750 0.549 0.098

# 7
Zn2CoMo: optimized geometry, PBE-GGA.

## Properties
For the energy relative to the elements, the calculation gives 58 kJ/mol of formula units. As for the polymorph energy (0 for the lowest one): 0.153 eV/atom.

a b c (Å): 5.236 5.236 4.484
angles (deg): 64.96 64.96 29.53
Positions (direct):
Co: 0.250 0.250 0.250
Mo: 0.750 0.750 0.750
Zn: 0.980 0.980 0.020
Zn: 0.520 0.520 0.480

# 8
Li7PdPt3: optimized geometry, PBE-GGA.

## Properties
For the energy relative to the elements, the calculation gives -491 kJ/mol of formula units.

a b c (Å): 2.711 10.521 11.949
angles (deg): 90.00 90.00 97.40
Positions (direct):
Li: 0.309 0.619 0.750
Li: 0.691 0.381 0.250
Li: 0.556 0.111 0.367
Li: 0.444 0.889 0.633
Li: 0.444 0.889 0.867
Li: 0.556 0.111 0.133
Li: 0.403 0.806 0.396
Li: 0.597 0.194 0.604
Li: 0.277 0.554 0.409
Li: 0.723 0.446 0.591
Li: 0.723 0.446 0.909
Li: 0.277 0.554 0.091
Li: 0.403 0.806 0.104
Li: 0.597 0.194 0.896
Pd: 0.972 0.944 0.250
Pd: 0.028 0.056 0.750
Pt: 0.155 0.309 0.438
Pt: 0.845 0.691 0.562
Pt: 0.170 0.339 0.750
Pt: 0.830 0.661 0.250
Pt: 0.155 0.309 0.062
Pt: 0.845 0.691 0.938

# 9
LiCa2Cr: optimized geometry, PBE-GGA.

## Properties
For the energy relative to the elements, the calculation gives 178 kJ/mol of formula units.

a b c (Å): 5.431 5.431 5.431
angles (deg): 60.00 60.00 60.00
Last column: magnetic moment on the atom in μB.
Positions (direct):
Ca: 0.000 0.000 0.000  -0.03
Ca: 0.250 0.250 0.250  0.02
Cr: 0.500 0.500 0.500  3.94
Li: 0.750 0.750 0.750  -0.01

# 10
Sr2Sb3IrRh4: optimized geometry, PBE-GGA.

## Properties
For the energy relative to the elements, uncorrected, the calculation gives -570 meV/atom.

a b c (Å): 4.474 4.474 10.771
angles (deg): 90.00 90.00 90.00
Positions (direct):
Sr: 0.500 0.000 0.254
Sr: 0.000 0.500 0.746
Sb: 0.000 0.000 0.500
Sb: 0.500 0.000 0.867
Sb: 0.000 0.500 0.133
Ir: 0.500 0.500 0.500
Rh: 0.500 0.500 0.000
Rh: 0.000 0.000 0.000
Rh: 0.500 0.000 0.623
Rh: 0.000 0.500 0.377

# 11
Er4TcSb: optimized geometry, PBE-GGA.

## Properties
As for the polymorph energy (0 for the lowest one): 0.000 eV/atom. For the energy relative to the elements, uncorrected, the calculation gives -482 meV/atom.

a b c (Å): 4.261 7.936 18.620
angles (deg): 90.00 90.00 90.00
Positions (direct):
Er: 0.750 0.882 0.642
Er: 0.250 0.118 0.358
Er: 0.250 0.618 0.142
Er: 0.750 0.382 0.858
Er: 0.750 0.853 0.453
Er: 0.250 0.147 0.547
Er: 0.250 0.647 0.953
Er: 0.750 0.353 0.047
Er: 0.750 0.001 0.935
Er: 0.250 0.999 0.065
Er: 0.250 0.499 0.435
Er: 0.750 0.501 0.565
Er: 0.750 0.938 0.210
Er: 0.250 0.062 0.790
Er: 0.250 0.562 0.710
Er: 0.750 0.438 0.290
Tc: 0.750 0.254 0.439
Tc: 0.250 0.746 0.561
Tc: 0.250 0.246 0.939
Tc: 0.750 0.754 0.061
Sb: 0.750 0.757 0.806
Sb: 0.250 0.243 0.194
Sb: 0.250 0.743 0.306
Sb: 0.750 0.257 0.694

# 12
NaPrTl: optimized geometry, PBE-GGA.

## Properties
For the energy relative to the elements, the calculation gives -55 kJ/mol of formula units. As for the polymorph energy (0 for the lowest one): 0.000 eV/atom.

a b c (Å): 5.658 5.658 6.602
angles (deg): 90.00 90.00 120.01
Positions (direct):
Na: 0.000 0.500 0.000
Na: 0.000 0.500 0.500
Pr: 0.333 0.167 0.750
Pr: 0.667 0.833 0.250
Tl: 0.667 0.833 0.750
Tl: 0.333 0.167 0.250

In the order shown, the computed DFT total energy values come out to -34.2 -16.5 -16.2 -23.2 -29.2 -25.2 -19.9 -41.8 -13.7 -59.7 -35.6 -9.0 eV per formula unit.